Record 1
Below is a relaxed Pa2PtS2N2 crystal, with properties calculated at the PBE level.

It has space group P-3m1 (No. 164), with a = 3.8674 Å, b = 3.8674 Å, c = 10.0602 Å, α = 90.00°, β = 90.00° and γ = 120.00°. Symmetry generates all atoms from Pa at (0.3333, 0.6667, 0.2929), Pt at (0.0000, 0.0000, 0.5000), S at (0.0000, 0.0000, 0.1039) and N at (0.3333, 0.6667, 0.6912).

Its uncorrected formation energy is -927 meV/atom. The crystal system is trigonal. For the density of states at the Fermi level, the calculation gives 0.367 states/eV per atom.

Record 2
Below is a relaxed CdAgIr4 crystal, with properties calculated at the PBE level.

It has space group F-43m (No. 216), with a = 7.426 Å, b = 7.426 Å, c = 7.426 Å, α = 90.00°, β = 90.00° and γ = 90.00°. Symmetry generates all atoms from Cd at (0.000, 0.000, 0.000), Ag at (0.250, 0.250, 0.250) and Ir at (0.125, 0.125, 0.625).

The value obtained for the formation energy from the elements is 2.39 eV per formula unit. The crystal system is cubic. For the density of states at the Fermi level, the calculation gives 1.981 states/eV per atom.

Record 3
Below is a relaxed Y2AsP crystal, with properties calculated at the PBE level.

It has space group I-4m2 (No. 119), with a = 4.031 Å, b = 4.031 Å, c = 11.291 Å, α = 90.00°, β = 90.00° and γ = 90.00°. Symmetry generates all atoms from Y at (0.000, 0.000, 0.000), Y at (0.000, 0.500, 0.250), As at (0.000, 0.500, 0.750) and P at (0.000, 0.000, 0.500).

The value obtained for the formation energy from the elements is -4.22 eV per formula unit. The crystal system is tetragonal. For the density of states at the Fermi level, the calculation gives 0.367 states/eV per atom.

Record 4
Below is a relaxed DySc3B4O12 crystal, with properties calculated at the PBE level.

It has space group R32 (No. 155, hexagonal axes), with a = 9.8151 Å, b = 9.8151 Å, c = 7.9524 Å, α = 90.00°, β = 90.00° and γ = 120.00°. Symmetry generates all atoms from Dy at (0.0000, 0.0000, 0.0000), Sc at (0.0000, 0.5447, 0.0000), B at (0.0000, 0.0000, 0.5000), B at (0.0000, 0.4549, 0.5000), O at (0.0000, 0.5954, 0.5000), O at (0.0000, 0.8594, 0.5000) and O at (0.0161, 0.2048, 0.1752).

Its uncorrected formation energy is -3036 meV/atom. The crystal system is trigonal. For the density of states at the Fermi level, the calculation gives 0.000 states/eV per atom.

Record 5
Below is a relaxed Rb3RePd3Se8 crystal, with properties calculated at the PBE level.

It has space group C2/m (No. 12), with a = 13.604 Å, b = 7.838 Å, c = 8.925 Å, α = 90.00°, β = 120.41° and γ = 90.00°. Symmetry generates all atoms from Rb at (0.000, 0.000, 0.000), Rb at (0.250, 0.250, 0.000), Re at (0.000, 0.000, 0.500), Pd at (0.000, 0.500, 0.500), Pd at (0.250, 0.250, 0.500), Se at (0.026, 0.244, 0.336), Se at (0.217, 0.000, 0.663) and Se at (0.220, 0.500, 0.659).

Its uncorrected formation energy is -460 meV/atom. The crystal system is monoclinic. For the density of states at the Fermi level, the calculation gives 0.559 states/eV per atom.

Record 6
Below is a relaxed Ho3Zr2Bi3 crystal, with properties calculated at the PBE level.

It has space group P6_3/mcm (No. 193), with a = 8.9703 Å, b = 8.9703 Å, c = 6.1040 Å, α = 90.00°, β = 90.00° and γ = 120.00°. Symmetry generates all atoms from Ho at (0.0000, 0.2488, 0.2500), Zr at (0.3333, 0.6667, 0.0000) and Bi at (0.0000, 0.3926, 0.7500).

The value obtained for the formation energy from the elements is -4.74 eV per formula unit. The crystal system is hexagonal. For the density of states at the Fermi level, the calculation gives 0.532 states/eV per atom.

Repeat the fourth record exactly.
Below is a relaxed DySc3B4O12 crystal, with properties calculated at the PBE level.

It has space group R32 (No. 155, hexagonal axes), with a = 9.8151 Å, b = 9.8151 Å, c = 7.9524 Å, α = 90.00°, β = 90.00° and γ = 120.00°. Symmetry generates all atoms from Dy at (0.0000, 0.0000, 0.0000), Sc at (0.0000, 0.5447, 0.0000), B at (0.0000, 0.0000, 0.5000), B at (0.0000, 0.4549, 0.5000), O at (0.0000, 0.5954, 0.5000), O at (0.0000, 0.8594, 0.5000) and O at (0.0161, 0.2048, 0.1752).

Its uncorrected formation energy is -3036 meV/atom. The crystal system is trigonal. For the density of states at the Fermi level, the calculation gives 0.000 states/eV per atom.